SrY2Ta PBE-GGA optimized geometry; D(E_F) = 5.4 states/eV/cell; ΔE_f = 13.71 kcal/mol of atoms; relative energy among the computed polymorphs = 236 meV/atom; crystal system = orthorhombic; DFT total energy = -24.08 eV/cell; space-group type = Immm
1.0
-6.0836 -2.9216 -0.6553
-1.8607 -1.8494 -6.2524
4.2321 -0.6575 5.2566
Sr Ta Y
1 1 2
Direct
0.7500 0.2500 0.5000 Sr
0.2500 0.7500 0.5000 Ta
0.0412 0.0412 0.0000 Y
0.4588 0.4588 0.0000 Y